An optimized crystal structure of PmDyAsO2. Source: the Alexandria database, functional PBE.

volume = 193.0 Å³ per cell
ΔE_f (raw) = -2639 meV/atom

abc: 3.8469 3.8469 13.0427
angles: 90.00 90.00 90.00
Space group I4mm (No. 107)
Inequivalent atoms, fractional coordinates:
Pm (0.0000, 0.0000, 0.0000) x2
Dy (0.0000, 0.0000, 0.3188) x2
As (0.0000, 0.0000, 0.6596) x2
O (0.0000, 0.5000, 0.4041) x4